No. 1
Density functional theory data (PBE) for crystalline Rb3NdTm2O6 at its relaxed geometry.

Structure (CIF):
```
data_Rb3NdTm2O6
_chemical_formula_sum 'Rb3 Nd1 Tm2 O6'
_symmetry_space_group_name_H-M 'P 1'
_symmetry_Int_Tables_number 1
_symmetry_space_group_name_Hall 'P 1'
_cell_length_a 6.1054
_cell_length_b 6.1054
_cell_length_c 6.8725
_cell_angle_alpha 98.50
_cell_angle_beta 98.50
_cell_angle_gamma 120.00
loop_
_atom_site_label
_atom_site_type_symbol
_atom_site_fract_x
_atom_site_fract_y
_atom_site_fract_z
_atom_site_occupancy
Tm1 Tm 0.6667 0.3333 0.0000 1
O1 O 0.9416 0.5939 0.8246 1
O2 O 0.0584 0.4061 0.1754 1
O3 O 0.5939 0.9416 0.8246 1
O4 O 0.4061 0.0584 0.1754 1
Rb1 Rb 0.5000 0.5000 0.5000 1
Tm2 Tm 0.3333 0.6667 0.0000 1
O5 O 0.2893 0.2893 0.8248 1
Nd1 Nd 0.0000 0.0000 0.0000 1
Rb2 Rb 0.8324 0.1676 0.5000 1
O6 O 0.7107 0.7107 0.1752 1
Rb3 Rb 0.1676 0.8324 0.5000 1
```

Properties
- Space-group type: C2/m, No. 12
- VASP energy: -78.43 eV for the cell shown


No. 2
Density functional theory data (PBE) for crystalline CaLa3C at its relaxed geometry.

Structure (CIF):
```
data_CaLa3C
_chemical_formula_sum 'Ca1 La3 C1'
_symmetry_space_group_name_H-M 'P 1'
_symmetry_Int_Tables_number 1
_symmetry_space_group_name_Hall 'P 1'
_cell_length_a 5.6027
_cell_length_b 5.6027
_cell_length_c 5.6027
_cell_angle_alpha 90.00
_cell_angle_beta 90.00
_cell_angle_gamma 90.00
loop_
_atom_site_label
_atom_site_type_symbol
_atom_site_fract_x
_atom_site_fract_y
_atom_site_fract_z
_atom_site_occupancy
La1 La 0.0000 0.5000 0.0000 1
La2 La 0.0000 0.0000 0.5000 1
Ca1 Ca 0.0000 0.0000 0.0000 1
La3 La 0.5000 0.0000 0.0000 1
C1 C 0.5000 0.5000 0.5000 1
```

Properties
- Formation energy from the elements: 2.022 eV/atom
- Space-group type: Pm-3m, No. 221
- Distance to the lowest polymorph of the same formula: 2027.2 meV per atom


No. 3
Density functional theory data (PBE) for crystalline MnCuSi at its relaxed geometry.

Structure (CIF):
```
data_MnCuSi
_chemical_formula_sum 'Mn1 Cu1 Si1'
_symmetry_space_group_name_H-M 'P 1'
_symmetry_Int_Tables_number 1
_symmetry_space_group_name_Hall 'P 1'
_cell_length_a 4.6024
_cell_length_b 4.6024
_cell_length_c 4.6024
_cell_angle_alpha 146.95
_cell_angle_beta 136.26
_cell_angle_gamma 55.90
loop_
_atom_site_label
_atom_site_type_symbol
_atom_site_fract_x
_atom_site_fract_y
_atom_site_fract_z
_atom_site_occupancy
Si1 Si 0.6690 0.6690 0.0000 1
Cu1 Cu 0.0056 0.0056 0.0000 1
Mn1 Mn 0.3254 0.3254 0.0000 1
```

Properties
- Space-group type: Imm2, No. 44
- VASP energy: -18.71 eV for the cell shown


No. 4
Density functional theory data (PBE) for crystalline Ca3AuI at its relaxed geometry.

Structure (CIF):
```
data_Ca3AuI
_chemical_formula_sum 'Ca3 Au1 I1'
_symmetry_space_group_name_H-M 'P 1'
_symmetry_Int_Tables_number 1
_symmetry_space_group_name_Hall 'P 1'
_cell_length_a 5.7727
_cell_length_b 5.7727
_cell_length_c 5.7727
_cell_angle_alpha 90.00
_cell_angle_beta 90.00
_cell_angle_gamma 90.00
loop_
_atom_site_label
_atom_site_type_symbol
_atom_site_fract_x
_atom_site_fract_y
_atom_site_fract_z
_atom_site_occupancy
I1 I 0.5000 0.5000 0.5000 1
Ca1 Ca 0.5000 0.0000 0.0000 1
Ca2 Ca 0.0000 0.0000 0.5000 1
Ca3 Ca 0.0000 0.5000 0.0000 1
Au1 Au 0.0000 0.0000 0.0000 1
```

Properties
- Space-group type: Pm-3m, No. 221
- Distance to the lowest polymorph of the same formula: 0.0 meV per atom


No. 5
Density functional theory data (PBE) for crystalline PrDy2N at its relaxed geometry.

Structure (CIF):
```
data_PrDy2N
_chemical_formula_sum 'Pr1 Dy2 N1'
_symmetry_space_group_name_H-M 'P 1'
_symmetry_Int_Tables_number 1
_symmetry_space_group_name_Hall 'P 1'
_cell_length_a 3.1820
_cell_length_b 3.1820
_cell_length_c 9.0112
_cell_angle_alpha 90.00
_cell_angle_beta 90.00
_cell_angle_gamma 90.00
loop_
_atom_site_label
_atom_site_type_symbol
_atom_site_fract_x
_atom_site_fract_y
_atom_site_fract_z
_atom_site_occupancy
Dy1 Dy 0.0000 0.0000 0.1571 1
Pr1 Pr 0.5000 0.5000 0.5000 1
Dy2 Dy 0.0000 0.0000 0.8429 1
N1 N 0.5000 0.5000 0.0000 1
```

Properties
- Space-group type: P4/mmm, No. 123
- Distance to the lowest polymorph of the same formula: 526.9 meV per atom


No. 6
Density functional theory data (PBE) for crystalline Er2ScOs2 at its relaxed geometry.

Structure (CIF):
```
data_Er2ScOs2
_chemical_formula_sum 'Er2 Sc1 Os2'
_symmetry_space_group_name_H-M 'P 1'
_symmetry_Int_Tables_number 1
_symmetry_space_group_name_Hall 'P 1'
_cell_length_a 4.2952
_cell_length_b 5.6056
_cell_length_c 5.6063
_cell_angle_alpha 63.48
_cell_angle_beta 67.48
_cell_angle_gamma 67.47
loop_
_atom_site_label
_atom_site_type_symbol
_atom_site_fract_x
_atom_site_fract_y
_atom_site_fract_z
_atom_site_occupancy
Os1 Os 0.9999 0.7873 0.7128 1
Er1 Er 0.2936 0.2064 0.7064 1
Er2 Er 0.7064 0.7936 0.2936 1
Os2 Os 0.0001 0.2127 0.2872 1
Sc1 Sc 0.5000 0.5000 0.0000 1
```

Properties
- Formation energy from the elements: -0.310 eV/atom
- Space-group type: Immm, No. 71


No. 7
Density functional theory data (PBE) for crystalline MnPSeS2 at its relaxed geometry.

Structure (CIF):
```
data_MnPSeS2
_chemical_formula_sum 'Mn1 P1 Se1 S2'
_symmetry_space_group_name_H-M 'P 1'
_symmetry_Int_Tables_number 1
_symmetry_space_group_name_Hall 'P 1'
_cell_length_a 4.6779
_cell_length_b 4.6779
_cell_length_c 4.7181
_cell_angle_alpha 90.00
_cell_angle_beta 90.00
_cell_angle_gamma 90.00
loop_
_atom_site_label
_atom_site_type_symbol
_atom_site_fract_x
_atom_site_fract_y
_atom_site_fract_z
_atom_site_occupancy
P1 P 0.0000 0.0000 0.5000 1
Se1 Se 0.0000 0.0000 0.0000 1
S1 S 0.0000 0.5000 0.0000 1
Mn1 Mn 0.5000 0.5000 0.5000 1
S2 S 0.5000 0.0000 0.0000 1
```

Properties
- Space-group type: P4/mmm, No. 123
- Distance to the lowest polymorph of the same formula: 987.6 meV per atom


No. 8
Density functional theory data (PBE) for crystalline CsBaPt2S at its relaxed geometry.

Structure (CIF):
```
data_CsBaPt2S
_chemical_formula_sum 'Cs1 Ba1 Pt2 S1'
_symmetry_space_group_name_H-M 'P 1'
_symmetry_Int_Tables_number 1
_symmetry_space_group_name_Hall 'P 1'
_cell_length_a 4.8969
_cell_length_b 5.7231
_cell_length_c 4.8969
_cell_angle_alpha 90.00
_cell_angle_beta 90.00
_cell_angle_gamma 90.00
loop_
_atom_site_label
_atom_site_type_symbol
_atom_site_fract_x
_atom_site_fract_y
_atom_site_fract_z
_atom_site_occupancy
S1 S 0.0000 0.0000 0.0000 1
Pt1 Pt 0.5000 0.0000 0.0000 1
Cs1 Cs 0.5000 0.5000 0.5000 1
Pt2 Pt 0.0000 0.0000 0.5000 1
Ba1 Ba 0.0000 0.5000 0.0000 1
```

Properties
- Space-group type: P4/mmm, No. 123
- VASP energy: -19.67 eV for the cell shown


No. 9
Density functional theory data (PBE) for crystalline CaPdSe at its relaxed geometry.

Structure (CIF):
```
data_CaPdSe
_chemical_formula_sum 'Ca2 Pd2 Se2'
_symmetry_space_group_name_H-M 'P 1'
_symmetry_Int_Tables_number 1
_symmetry_space_group_name_Hall 'P 1'
_cell_length_a 5.5509
_cell_length_b 4.5242
_cell_length_c 5.9611
_cell_angle_alpha 89.89
_cell_angle_beta 90.99
_cell_angle_gamma 66.02
loop_
_atom_site_label
_atom_site_type_symbol
_atom_site_fract_x
_atom_site_fract_y
_atom_site_fract_z
_atom_site_occupancy
Se1 Se 0.2166 0.6102 0.7391 1
Pd1 Pd 0.5777 0.9295 0.2056 1
Ca1 Ca 0.6266 0.9056 0.7118 1
Pd2 Pd 0.0612 0.1870 0.9207 1
Ca2 Ca 0.1687 0.6335 0.2460 1
Se2 Se 0.7590 0.3390 0.2650 1
```

Properties
- Space-group type: P1, No. 1
- Distance to the lowest polymorph of the same formula: 75.5 meV per atom


No. 10
Density functional theory data (PBE) for crystalline YTcOs2 at its relaxed geometry.

Structure (CIF):
```
data_YTcOs2
_chemical_formula_sum 'Y1 Tc1 Os2'
_symmetry_space_group_name_H-M 'P 1'
_symmetry_Int_Tables_number 1
_symmetry_space_group_name_Hall 'P 1'
_cell_length_a 9.7439
_cell_length_b 9.7439
_cell_length_c 9.7439
_cell_angle_alpha 16.75
_cell_angle_beta 16.75
_cell_angle_gamma 16.75
loop_
_atom_site_label
_atom_site_type_symbol
_atom_site_fract_x
_atom_site_fract_y
_atom_site_fract_z
_atom_site_occupancy
Os1 Os 0.2499 0.2499 0.2499 1
Y1 Y 0.7493 0.7493 0.7493 1
Tc1 Tc 0.5101 0.5101 0.5101 1
Os2 Os 0.9907 0.9907 0.9907 1
```

Properties
- Formation energy from the elements: 0.499 eV/atom
- Space-group type: R3m, No. 160
- Distance to the lowest polymorph of the same formula: 322.7 meV per atom


No. 11
Density functional theory data (PBE) for crystalline NdAlTlHg at its relaxed geometry.

Structure (CIF):
```
data_NdAlTlHg
_chemical_formula_sum 'Nd1 Al1 Tl1 Hg1'
_symmetry_space_group_name_H-M 'P 1'
_symmetry_Int_Tables_number 1
_symmetry_space_group_name_Hall 'P 1'
_cell_length_a 5.2328
_cell_length_b 5.2328
_cell_length_c 5.2328
_cell_angle_alpha 60.00
_cell_angle_beta 60.00
_cell_angle_gamma 60.00
loop_
_atom_site_label
_atom_site_type_symbol
_atom_site_fract_x
_atom_site_fract_y
_atom_site_fract_z
_atom_site_occupancy
Hg1 Hg 0.5000 0.5000 0.5000 1
Tl1 Tl 0.0000 0.0000 0.0000 1
Nd1 Nd 0.7500 0.7500 0.7500 1
Al1 Al 0.2500 0.2500 0.2500 1
```

Properties
- Formation energy from the elements: -0.153 eV/atom
- Space-group type: F-43m, No. 216


No. 12
Density functional theory data (PBE) for crystalline NaSbTe2I at its relaxed geometry.

Structure (CIF):
```
data_NaSbTe2I
_chemical_formula_sum 'Na1 Sb1 Te2 I1'
_symmetry_space_group_name_H-M 'P 1'
_symmetry_Int_Tables_number 1
_symmetry_space_group_name_Hall 'P 1'
_cell_length_a 5.9798
_cell_length_b 5.9798
_cell_length_c 5.9068
_cell_angle_alpha 90.00
_cell_angle_beta 90.00
_cell_angle_gamma 90.00
loop_
_atom_site_label
_atom_site_type_symbol
_atom_site_fract_x
_atom_site_fract_y
_atom_site_fract_z
_atom_site_occupancy
I1 I 0.0000 0.0000 0.0000 1
Na1 Na 0.5000 0.5000 0.5000 1
Te1 Te 0.5000 0.0000 0.0000 1
Te2 Te 0.0000 0.5000 0.0000 1
Sb1 Sb 0.0000 0.0000 0.5000 1
```

Properties
- Space-group type: P4/mmm, No. 123
- Distance to the lowest polymorph of the same formula: 605.1 meV per atom